# 1
A relaxed Rb2InPb3 crystal, computed with GGA-PBE.

Cell: 12.7468 5.5549 8.9940 Å, 90.00 134.23 90.00°
With the nearest neighbours (Å) after each atom.
Space group Cm (No. 8)
One atom of each set of equivalent atoms:
Rb (0.0000, 0.0000, 0.0000) x2  9 Pb 3.80-4.11, 3 In 4.02-4.17
Rb (0.1397, 0.0000, 0.6478) x2  9 Pb 3.80-4.13, 3 In 3.82-3.86
In (0.4109, 0.0000, 0.2452) x2  4 Pb 3.09-3.20
Pb (0.2194, 0.5000, 0.4021) x2  1 In 3.12, 3 Pb 3.17-3.27
Pb (0.2373, 0.5000, 0.0674) x2  2 Pb 3.17-3.32, 2 In 3.20
Pb (0.4075, 0.0000, 0.5852) x2  1 In 3.09, 3 Pb 3.27-3.32

**Density**: 6.60 g cm⁻³
**ΔE_f**: -0.77 eV per formula unit

***

# 2
A relaxed Tb2MnSi3Ir4 crystal, computed with GGA-PBE.

Cell: 4.0900 4.0900 10.1725 Å, 90.00 90.00 90.00°
With the nearest neighbours (Å) after each atom.
Space group P-4m2 (No. 115)
One atom of each set of equivalent atoms:
Tb (0.0000, 0.5000, 0.2482) x2  8 Ir 3.12-3.25, 6 Si 3.14-3.28, 2 Mn 3.28
Mn (0.0000, 0.0000, 0.5000) x1  4 Ir 2.48
Si (0.0000, 0.5000, 0.8717) x2  5 Ir 2.38-2.43
Si (0.5000, 0.5000, 0.5000) x1  4 Ir 2.48
Ir (0.0000, 0.0000, 0.0000) x1  4 Si 2.43
Ir (0.0000, 0.5000, 0.6377) x2  3 Si 2.38-2.48, 2 Mn 2.48
Ir (0.5000, 0.5000, 0.0000) x1  4 Si 2.43

**Energy relative to the elements, uncorrected**: -0.928 eV per atom
**Density**: 11.96 g cm⁻³

***

# 3
A relaxed GdCuGe2 crystal, computed with GGA-PBE.

Cell: 3.1918 3.1918 28.6866 Å, 90.00 90.00 120.00°
With the nearest neighbours (Å) after each atom.
Space group R-3m (No. 166, hexagonal axes)
One atom of each set of equivalent atoms:
Gd (0.0000, 0.0000, 0.0000) x3  2 Ge 2.97, 6 Gd 3.19
Cu (0.0000, 0.0000, 0.5000) x3  6 Ge 2.58
Ge (0.0000, 0.0000, 0.1036) x6  3 Cu 2.58

**Density**: 7.21 g cm⁻³
**ΔE_f**: 0.92 eV per formula unit

***

# 4
A relaxed K2ZrCl crystal, computed with GGA-PBE.

Cell: 3.3358 4.3486 20.5218 Å, 90.00 90.00 90.00°
With the nearest neighbours (Å) after each atom.
Space group Immm (No. 71)
One atom of each set of equivalent atoms:
K (0.0000, 0.0000, 0.1538) x4  2 K 3.34, 2 Cl 3.57
Zr (0.0000, 0.5000, 0.0000) x2  4 Cl 2.74
Cl (0.0000, 0.5000, 0.5000) x2  4 Zr 2.74

**Polymorph energy (0 for the lowest one)**: 0.295 eV per atom
**Energy relative to the elements, uncorrected**: 0.014 eV per atom
**Density**: 2.29 g cm⁻³

***

# 5
A relaxed YErO crystal, computed with GGA-PBE.

Cell: 3.5170 3.5170 5.6826 Å, 90.00 90.00 120.00°
With the nearest neighbours (Å) after each atom.
Space group P3m1 (No. 156)
One atom of each set of equivalent atoms:
Y (0.0000, 0.0000, 0.0000) x1  3 O 2.46
Er (0.3333, 0.6667, 0.4718) x1  3 O 2.41
O (0.6667, 0.3333, 0.2444) x1  3 Er 2.41, 3 Y 2.46

**Polymorph energy (0 for the lowest one)**: 0.000 eV per atom
**Energy relative to the elements, uncorrected**: -1.811 eV per atom
**Density**: 7.42 g cm⁻³

***

# 6
A relaxed Li2Tl3ReSe6 crystal, computed with GGA-PBE.

Cell: 6.9099 11.9700 7.3623 Å, 90.00 108.48 90.00°
With the nearest neighbours (Å) after each atom.
Space group C2/m (No. 12)
One atom of each set of equivalent atoms:
Li (0.0000, 0.1654, 0.0000) x4  6 Se 2.78-2.83
Tl (0.0000, 0.0000, 0.5000) x2  6 Se 3.01-3.25
Tl (0.0000, 0.3382, 0.5000) x4  6 Se 2.99-3.30
Re (0.0000, 0.5000, 0.0000) x2  6 Se 2.52-2.55
Se (0.2183, 0.3499, 0.2051) x8  1 Re 2.52
Se (0.2385, 0.5000, 0.7972) x4  1 Re 2.55, 2 Li 2.78

**Energy relative to the elements, uncorrected**: -0.425 eV per atom
**Density**: 7.40 g cm⁻³